Below is a crystal of SiAg3Hg relaxed with PBEsol, with properties calculated at the meta-GGA SCAN level.

Summary:
* E_tot: -166.7 eV per formula unit
* ΔE_f (raw): 1.114 eV per atom
* magnetic moment: 0.00 μB per formula unit

The structure in extended XYZ format:
```
5
Lattice="-4.588 -1.329 1.638 2.059 -1.968 4.169 -0.459 4.456 2.330" Properties=species:S:1:pos:R:3 pbc="T T T"
Ag -0.230 2.228 1.165
Ag 1.029 -0.984 2.085
Ag -2.294 -0.665 0.819
Hg 0.000 0.000 0.000
Si -1.494 0.579 4.069
```

Below is a crystal of SmAgHg2 relaxed with PBEsol, with properties calculated at the meta-GGA SCAN level.

Summary:
* E_tot: -214.1 eV per formula unit
* magnetic moment: 0.00 μB per formula unit
* energy relative to the elements: -1.92 eV/f.u.

The structure in extended XYZ format:
```
4
Lattice="4.963 0.000 0.000 2.482 4.298 0.000 2.482 1.433 4.052" Properties=species:S:1:pos:R:3 pbc="T T T"
Sm 4.963 2.866 2.026
Ag 0.000 0.000 0.000
Hg 7.445 4.298 3.039
Hg 2.482 1.433 1.013
```

Below is a crystal of Sm2AgHg relaxed with PBEsol, with properties calculated at the meta-GGA SCAN level.

Summary:
* E_tot: -190.5 eV per formula unit
* magnetic moment: 0.00 μB per formula unit
* energy relative to the elements: -2.11 eV/f.u.

The structure in extended XYZ format:
```
4
Lattice="5.201 0.000 0.000 2.601 4.504 0.000 2.601 1.501 4.247" Properties=species:S:1:pos:R:3 pbc="T T T"
Sm 2.601 1.501 1.062
Hg 0.000 0.000 0.000
Sm 7.802 4.504 3.185
Ag 5.201 3.003 2.123
```

Below is a crystal of AgSn2Hg2 relaxed with PBEsol, with properties calculated at the meta-GGA SCAN level.

Summary:
* E_tot: -238.0 eV per formula unit
* magnetic moment: 0.00 μB per formula unit
* energy relative to the elements: 1.54 eV/f.u.

The structure in extended XYZ format:
```
5
Lattice="4.083 0.000 0.000 0.000 4.083 0.000 -2.042 -2.042 7.549" Properties=species:S:1:pos:R:3 pbc="T T T"
Sn 2.042 0.000 3.775
Hg 2.042 2.042 1.367
Sn 0.000 2.042 3.775
Hg 0.000 0.000 6.182
Ag 0.000 0.000 0.000
```

Below is a crystal of AgSn3Hg relaxed with PBEsol, with properties calculated at the meta-GGA SCAN level.

Summary:
* E_tot: -203.3 eV per formula unit
* magnetic moment: 0.00 μB per formula unit
* energy relative to the elements: 4.04 eV/f.u.

The structure in extended XYZ format:
```
5
Lattice="-5.421 -0.146 -0.390 0.136 -5.434 0.138 -0.394 0.128 5.422" Properties=species:S:1:pos:R:3 pbc="T T T"
Sn -0.197 0.064 2.711
Sn -2.711 -0.073 -0.195
Sn 0.068 -2.717 0.069
Hg 0.000 0.000 0.000
Ag -2.839 -2.726 2.585
```

Below is a crystal of SrAg2Hg2 relaxed with PBEsol, with properties calculated at the meta-GGA SCAN level.

Summary:
* E_tot: -222.9 eV per formula unit
* magnetic moment: 0.00 μB per formula unit
* energy relative to the elements: -1.52 eV/f.u.

The structure in extended XYZ format:
```
5
Lattice="-2.176 -3.662 0.605 0.808 0.217 4.220 -4.727 5.081 -1.549" Properties=species:S:1:pos:R:3 pbc="T T T"
Ag -3.794 -0.152 0.734
Hg -4.209 2.612 0.672
Ag -2.302 1.788 2.542
Sr 0.000 0.000 0.000
Hg -1.886 -0.976 2.604
```

Below is a crystal of SrAgHg2 relaxed with PBEsol, with properties calculated at the meta-GGA SCAN level.

Summary:
* E_tot: -191.6 eV per formula unit
* magnetic moment: 0.00 μB per formula unit
* energy relative to the elements: -1.60 eV/f.u.

The structure in extended XYZ format:
```
4
Lattice="-3.996 -1.095 2.526 0.641 -1.838 -4.444 3.181 -2.258 4.054" Properties=species:S:1:pos:R:3 pbc="T T T"
Ag 1.591 -1.129 2.027
Hg 0.301 -2.071 -0.422
Sr -1.998 -0.548 1.263
Hg -0.474 -3.122 2.558
```

Below is a crystal of SrAgHg2 relaxed with PBEsol, with properties calculated at the meta-GGA SCAN level.

Summary:
* E_tot: -191.3 eV per formula unit
* magnetic moment: 0.00 μB per formula unit
* energy relative to the elements: -1.35 eV/f.u.

The structure in extended XYZ format:
```
4
Lattice="5.127 0.000 0.000 2.564 4.440 0.000 2.564 1.480 4.186" Properties=species:S:1:pos:R:3 pbc="T T T"
Sr 2.564 1.480 1.047
Ag 5.127 2.960 2.093
Hg 7.691 4.440 3.140
Hg 0.000 0.000 0.000
```